Here is an optimized crystal structure of La10Pr4Y from Alexandria via LeMat-Bulk. Energies are from GGA-PBE.

Structure (POSCAR):
```
La10Pr4Y
1.0
-10.387 -1.266 -1.352
-4.749 -7.218 2.076
-6.367 2.019 5.861
La Pr Y
10 4 1
direct
0.250 0.500 0.500
0.544 0.314 0.916
0.142 0.084 0.314
0.540 0.916 0.686
0.774 0.686 0.084
0.226 0.314 0.916
0.460 0.084 0.314
0.858 0.916 0.686
0.750 0.500 0.500
0.456 0.686 0.084
0.949 0.376 0.726
0.675 0.274 0.376
0.051 0.624 0.274
0.325 0.726 0.624
0.000 0.000 0.000
```

## Properties
* ΔE_f: 0.248 eV per atom
* uncorrected energy: -4.74 eV per atom
* symmetry: I4/m (87)
* M_tot: 0.00 μB per formula unit

Here is an optimized crystal structure of ZrSiMo2 from Alexandria via LeMat-Bulk. Energies are from GGA-PBE.

Structure (POSCAR):
```
ZrSiMo2
1.0
3.587 0.000 0.000
0.000 4.263 0.000
0.000 0.000 4.315
Si Zr Mo
1 1 2
direct
0.500 0.000 0.500
0.000 0.500 0.500
0.500 0.500 0.000
0.000 0.000 0.000
```

## Properties
* uncorrected formation energy: -0.16 eV per atom
* uncorrected energy: -9.07 eV per atom
* symmetry: Pmmm (47)
* M_tot: 0.00 μB per formula unit

Here is an optimized crystal structure of Ac2SmTl3S6 from Alexandria via LeMat-Bulk. Energies are from GGA-PBE.

Structure (POSCAR):
```
Ac2SmTl3S6
1.0
-1.790 -3.857 -6.183
-0.730 -3.194 6.751
-6.159 4.880 0.255
Tl S Ac Sm
3 6 2 1
direct
0.835 0.165 0.500
0.500 0.500 0.500
0.165 0.835 0.500
0.613 0.931 0.794
0.751 0.751 0.210
0.249 0.249 0.790
0.387 0.069 0.206
0.931 0.613 0.794
0.069 0.387 0.206
0.333 0.667 0.000
0.667 0.333 0.000
0.000 0.000 0.000
```

## Properties
* uncorrected formation energy: -1.48 eV per atom
* uncorrected energy: -5.22 eV per atom
* symmetry: C2/m (12)
* M_tot: 0.00 μB per formula unit

Here is an optimized crystal structure of Ti8C5 from Alexandria via LeMat-Bulk. Energies are from GGA-PBE.

Structure (POSCAR):
```
Ti8C5
1.0
-5.660 -13.103 -13.176
-6.730 -14.706 -10.760
-8.513 -12.575 -12.113
C Ti
5 8
direct
0.125 0.125 0.125
0.000 0.000 0.000
0.377 0.377 0.377
0.875 0.875 0.875
0.623 0.623 0.623
0.313 0.313 0.313
0.188 0.188 0.188
0.687 0.687 0.687
0.812 0.812 0.812
0.439 0.439 0.439
0.938 0.938 0.938
0.062 0.062 0.062
0.561 0.561 0.561
```

## Properties
* ΔE_f: -0.700 eV per atom
* uncorrected energy: -9.11 eV per atom
* symmetry: R-3m (166)
* M_tot: 0.00 μB per formula unit
* energy relative to the lowest polymorph listed for this composition: 0.024 eV per atom

Here is an optimized crystal structure of Re7Rh from Alexandria via LeMat-Bulk. Energies are from GGA-PBE.

Structure (POSCAR):
```
Re7Rh
1.0
2.768 -5.520 0.000
2.768 5.520 0.000
0.000 0.000 3.905
Re Rh
7 1
direct
0.128 0.380 0.000
0.252 0.748 0.500
0.748 0.252 0.500
0.000 0.000 0.500
0.620 0.872 0.000
0.380 0.128 0.000
0.872 0.620 0.000
0.500 0.500 0.500
```

## Properties
* ΔE_f: 0.026 eV per atom
* uncorrected energy: -11.79 eV per atom
* symmetry: Cmmm (65)
* M_tot: 0.00 μB per formula unit
* energy relative to the lowest polymorph listed for this composition: 0.020 eV per atom

Here is an optimized crystal structure of Ba2NaSi2 from Alexandria via LeMat-Bulk. Energies are from GGA-PBE.

Structure (POSCAR):
```
Ba2NaSi2
1.0
3.957 0.000 -0.961
0.000 4.697 -0.001
0.225 0.001 9.550
Si Ba Na
2 2 1
direct
0.786 0.500 0.572
0.214 0.500 0.428
0.353 0.000 0.706
0.647 0.000 0.294
0.000 0.500 0.000
```

## Properties
* uncorrected formation energy: -0.31 eV per atom
* uncorrected energy: -3.52 eV per atom
* symmetry: Cmmm (65)
* M_tot: 0.00 μB per formula unit